(1)
Here is BPbN2 after structural relaxation from the Alexandria database. Energies are from GGA-PBE.

Cell: 5.560 5.560 5.560 Å, 39.91 39.91 39.91°
Sites, in units of the cell vectors:
Pb 0.500 0.500 0.500
B 0.000 0.000 0.000
N 0.912 0.912 0.912
N 0.088 0.088 0.088

Properties
The energy above the lowest structure with this stoichiometry comes out at 0.0 kJ/mol of atoms. The value obtained for the total magnetization is 0.000 μB/cell. The space-group type is R-3m.

***

(2)
Here is B3PbN after structural relaxation from the Alexandria database. Energies are from GGA-PBE.

Cell: 3.804 3.804 3.804 Å, 90.00 90.00 90.00°
Sites, in units of the cell vectors:
Pb 0.500 0.500 0.500
B 0.000 0.500 0.000
B 0.000 0.000 0.500
B 0.500 0.000 0.000
N 0.000 0.000 0.000

Properties
The energy above the lowest structure with this stoichiometry comes out at 0.0 kJ/mol of atoms. The value obtained for the total magnetization is 0.000 μB/cell. The space-group type is Pm-3m.

***

(3)
Here is BPbN2 after structural relaxation from the Alexandria database. Energies are from GGA-PBE.

Cell: 4.959 4.959 5.021 Å, 60.40 60.40 90.00°
Sites, in units of the cell vectors:
Pb 0.000 0.000 0.000
Pb 0.750 0.250 0.500
B 0.500 0.500 0.000
B 0.250 0.750 0.500
N 0.475 0.125 0.250
N 0.275 0.625 0.250
N 0.375 0.525 0.750
N 0.875 0.725 0.750

Properties
The energy above the lowest structure with this stoichiometry comes out at 13.8 kJ/mol of atoms. The value obtained for the total magnetization is 0.000 μB/cell. The space-group type is I-42d.

***

(4)
Here is B2PbN after structural relaxation from the Alexandria database. Energies are from GGA-PBE.

Cell: 4.641 4.641 5.443 Å, 64.77 64.77 90.00°
Sites, in units of the cell vectors:
Pb 0.000 0.000 0.000
Pb 0.750 0.250 0.500
B 0.490 0.125 0.250
B 0.260 0.625 0.250
B 0.375 0.510 0.750
B 0.875 0.740 0.750
N 0.500 0.500 0.000
N 0.250 0.750 0.500

Properties
The energy above the lowest structure with this stoichiometry comes out at 0.0 kJ/mol of atoms. The value obtained for the total magnetization is 0.000 μB/cell. The space-group type is I-42d.

***

(5)
Here is BPbN2 after structural relaxation from the Alexandria database. Energies are from GGA-PBE.

Cell: 4.044 4.044 4.044 Å, 60.00 60.00 60.00°
Sites, in units of the cell vectors:
Pb 0.500 0.500 0.500
B 0.000 0.000 0.000
N 0.250 0.250 0.250
N 0.750 0.750 0.750

Properties
The energy above the lowest structure with this stoichiometry comes out at 216.6 kJ/mol of atoms. The value obtained for the total magnetization is 0.002 μB/cell. The space-group type is Fm-3m.

***

(6)
Here is BPbN after structural relaxation from the Alexandria database. Energies are from GGA-PBE.

Cell: 3.304 7.299 17.515 Å, 145.16 51.92 139.72°
Sites, in units of the cell vectors:
Pb 0.236 0.057 0.904
Pb 0.764 0.943 0.096
N 0.000 0.500 0.500
N 0.500 0.000 0.500
B 0.250 0.749 0.499
B 0.750 0.251 0.501

Properties
The value obtained for the total magnetization is 0.000 μB/cell. For the energy, the calculation gives -6.4201 eV per atom. The space-group type is P-1.

***

(7)
Here is B3PbN after structural relaxation from the Alexandria database. Energies are from GGA-PBE.

Cell: 4.569 4.569 4.569 Å, 90.00 90.00 90.00°
Sites, in units of the cell vectors:
Pb 0.000 0.000 0.000
B 0.000 0.500 0.000
B 0.000 0.000 0.500
B 0.500 0.000 0.000
N 0.500 0.500 0.500

Properties
The energy above the lowest structure with this stoichiometry comes out at 146.6 kJ/mol of atoms. The value obtained for the total magnetization is 0.000 μB/cell. The space-group type is Pm-3m.

***

(8)
Here is BRhPbN2 after structural relaxation from the Alexandria database. Energies are from GGA-PBE.

Cell: 3.472 6.316 3.472 Å, 90.00 90.00 90.00°
Sites, in units of the cell vectors:
Pb 0.000 0.500 0.000
B 0.000 0.000 0.000
Rh 0.500 0.500 0.500
N 0.000 0.000 0.500
N 0.500 0.000 0.000

Properties
The value obtained for the total magnetization is 0.000 μB/cell. For the energy, the calculation gives -5.2635 eV per atom. The space-group type is P4/mmm.

***

(9)
Here is BPbSN2 after structural relaxation from the Alexandria database. Energies are from GGA-PBE.

Cell: 4.544 4.544 5.300 Å, 90.00 90.00 90.00°
Sites, in units of the cell vectors:
Pb 0.000 0.000 0.000
S 0.000 0.000 0.500
B 0.500 0.500 0.500
N 0.000 0.500 0.000
N 0.500 0.000 0.000

Properties
The energy above the lowest structure with this stoichiometry comes out at 108.8 kJ/mol of atoms. The value obtained for the total magnetization is 3.253 μB/cell. The space-group type is P4/mmm.

***

(10)
Here is BPbSN2 after structural relaxation from the Alexandria database. Energies are from GGA-PBE.

Cell: 3.565 3.565 5.319 Å, 90.00 90.00 90.00°
Sites, in units of the cell vectors:
Pb 0.500 0.500 0.500
S 0.000 0.000 0.500
B 0.000 0.000 0.000
N 0.000 0.500 0.000
N 0.500 0.000 0.000

Properties
The energy above the lowest structure with this stoichiometry comes out at 0.0 kJ/mol of atoms. The value obtained for the total magnetization is 0.238 μB/cell. The space-group type is P4/mmm.

***

(11)
Here is TaBPbN2 after structural relaxation from the Alexandria database. Energies are from GGA-PBE.

Cell: 4.104 4.569 4.104 Å, 90.00 90.00 90.00°
Sites, in units of the cell vectors:
Pb 0.500 0.500 0.500
B 0.000 0.500 0.000
N 0.000 0.000 0.500
N 0.500 0.000 0.000
Ta 0.000 0.000 0.000

Properties
The value obtained for the total magnetization is 0.000 μB/cell. For the energy, the calculation gives -7.2201 eV per atom. The space-group type is P4/mmm.

***

(12)
Here is BTe2PbN after structural relaxation from the Alexandria database. Energies are from GGA-PBE.

Cell: 6.696 6.696 2.788 Å, 90.00 90.00 90.00°
Sites, in units of the cell vectors:
Pb 0.500 0.500 0.500
B 0.000 0.000 0.000
Te 0.000 0.500 0.000
Te 0.500 0.000 0.000
N 0.000 0.000 0.500

Properties
The energy above the lowest structure with this stoichiometry comes out at 0.0 kJ/mol of atoms. The value obtained for the total magnetization is 0.000 μB/cell. The space-group type is P4/mmm.

***

(13)
Here is BTe2PbN after structural relaxation from the Alexandria database. Energies are from GGA-PBE.

Cell: 5.954 5.954 4.368 Å, 90.00 90.00 90.00°
Sites, in units of the cell vectors:
Pb 0.000 0.000 0.000
B 0.500 0.500 0.500
Te 0.000 0.500 0.000
Te 0.500 0.000 0.000
N 0.000 0.000 0.500

Properties
The energy above the lowest structure with this stoichiometry comes out at 173.5 kJ/mol of atoms. The value obtained for the total magnetization is 1.981 μB/cell. The space-group type is P4/mmm.

***

(14)
Here is BPdN2 after structural relaxation from the Alexandria database. Energies are from GGA-PBE.

Cell: 4.403 4.403 4.804 Å, 62.72 62.72 90.00°
Sites, in units of the cell vectors:
B 0.500 0.500 0.000
B 0.250 0.750 0.500
Pd 0.000 0.000 0.000
Pd 0.750 0.250 0.500
N 0.523 0.125 0.250
N 0.227 0.625 0.250
N 0.375 0.477 0.750
N 0.875 0.773 0.750

Properties
The value obtained for the total magnetization is 0.000 μB/cell. For the energy, the calculation gives -6.9908 eV per atom. The space-group type is I-42d.

***

(15)
Here is BPd2N after structural relaxation from the Alexandria database. Energies are from GGA-PBE.

Cell: 3.939 3.939 3.939 Å, 60.00 60.00 60.00°
Sites, in units of the cell vectors:
B 0.000 0.000 0.000
Pd 0.250 0.250 0.250
Pd 0.750 0.750 0.750
N 0.500 0.500 0.500

Properties
The energy above the lowest structure with this stoichiometry comes out at 38.5 kJ/mol of atoms. The value obtained for the total magnetization is 0.000 μB/cell. The space-group type is Fm-3m.

***

(16)
Here is BPdN after structural relaxation from the Alexandria database. Energies are from GGA-PBE.

Cell: 2.663 3.732 6.186 Å, 98.55 90.00 90.00°
Sites, in units of the cell vectors:
B 0.250 0.000 0.628
B 0.750 0.000 0.372
Pd 0.250 0.288 0.140
Pd 0.750 0.712 0.860
N 0.750 0.194 0.631
N 0.250 0.806 0.369

Properties
The value obtained for the total magnetization is 0.000 μB/cell. For the energy, the calculation gives -6.7325 eV per atom. The space-group type is P2_1/m.

***

(17)
Here is BPdN2 after structural relaxation from the Alexandria database. Energies are from GGA-PBE.

Cell: 5.179 5.179 5.179 Å, 36.73 36.73 36.73°
Sites, in units of the cell vectors:
B 0.000 0.000 0.000
Pd 0.500 0.500 0.500
N 0.907 0.907 0.907
N 0.093 0.093 0.093

Properties
The value obtained for the total magnetization is 0.000 μB/cell. For the energy, the calculation gives -6.8008 eV per atom. The space-group type is R-3m.

***

(18)
Here is BPd2N after structural relaxation from the Alexandria database. Energies are from GGA-PBE.

Cell: 4.697 4.697 5.917 Å, 66.62 66.62 90.00°
Sites, in units of the cell vectors:
B 0.500 0.500 0.000
B 0.250 0.750 0.500
Pd 0.623 0.125 0.250
Pd 0.127 0.625 0.250
Pd 0.375 0.377 0.750
Pd 0.875 0.873 0.750
N 0.000 0.000 0.000
N 0.750 0.250 0.500

Properties
The energy above the lowest structure with this stoichiometry comes out at 0.0 kJ/mol of atoms. The value obtained for the total magnetization is 0.000 μB/cell. The space-group type is I-42d.

***

(19)
Here is BPd3N after structural relaxation from the Alexandria database. Energies are from GGA-PBE.

Cell: 4.080 4.080 4.080 Å, 90.00 90.00 90.00°
Sites, in units of the cell vectors:
B 0.500 0.500 0.500
Pd 0.000 0.500 0.000
Pd 0.000 0.000 0.500
Pd 0.500 0.000 0.000
N 0.000 0.000 0.000

Properties
The energy above the lowest structure with this stoichiometry comes out at 0.0 kJ/mol of atoms. The value obtained for the total magnetization is 0.000 μB/cell. The space-group type is Pm-3m.

***

(20)
Here is B2PdN after structural relaxation from the Alexandria database. Energies are from GGA-PBE.

Cell: 4.656 4.656 4.680 Å, 60.17 60.17 90.00°
Sites, in units of the cell vectors:
B 0.523 0.125 0.250
B 0.227 0.625 0.250
B 0.375 0.477 0.750
B 0.875 0.773 0.750
Pd 0.000 0.000 0.000
Pd 0.750 0.250 0.500
N 0.500 0.500 0.000
N 0.250 0.750 0.500

Properties
The value obtained for the total magnetization is 0.000 μB/cell. For the energy, the calculation gives -6.6677 eV per atom. The space-group type is I-42d.